CuP2CCl | Alexandria via LeMat-Bulk | PBE-GGA | relaxed; polymorph energy (0 for the lowest one) = 0.0 meV/atom; ΔE_f (raw) = 24.11 kcal/mol of atoms; space-group type = P4/mmm (123); DFT total energy = -0.1526 hartree per atom
1.0
3.721 0.000 0.000
0.000 3.721 0.000
0.000 0.000 7.047
Cu P C Cl
1 2 1 1
direct
0.000 0.000 0.000
0.000 0.500 0.500
0.500 0.000 0.500
0.500 0.500 0.500
0.500 0.500 0.000